Record 1
Computed, not measured: a geometry-optimized CaPbS2O8 structure at the PBE level of DFT.

The structure in POSCAR format:
```
CaPbS2O8
1.0
-1.805 4.263 1.993
-4.817 0.257 1.461
-0.269 -0.855 7.961
S O Ca Pb
2 8 1 1
Cartesian
-1.704 0.894 2.919
-5.187 2.771 8.495
-2.472 -0.483 7.120
-4.488 1.459 8.367
-2.403 2.206 3.047
-1.316 0.420 4.283
-1.604 2.361 7.859
-4.419 4.148 4.294
-5.575 3.245 7.131
-5.287 1.304 3.555
0.000 0.000 0.000
-3.445 1.833 5.707
```

E_form (uncorrected)   -2078 kJ/mol of formula units
Space group   R-3
Final energy   -75.2 eV for the cell shown

Record 2
Computed, not measured: a geometry-optimized CaPbS2O structure at the PBE level of DFT.

The structure in POSCAR format:
```
CaPbS2O
1.0
5.330 0.000 0.000
0.000 4.322 0.000
0.000 0.000 5.330
Pb S Ca O
1 2 1 1
Cartesian
2.665 2.161 2.665
0.000 0.000 2.665
2.665 0.000 0.000
0.000 0.000 0.000
0.000 2.161 0.000
```

E_form (uncorrected)   -252 kJ/mol of formula units
Space group   P4/mmm
Final energy   -21.5 eV for the cell shown

Record 3
Computed, not measured: a geometry-optimized CaPb2SO structure at the PBE level of DFT.

The structure in POSCAR format:
```
CaPb2SO
1.0
5.907 0.000 0.000
0.000 3.593 0.000
0.000 0.000 5.907
S Pb Ca O
1 2 1 1
Cartesian
0.000 0.000 0.000
2.953 0.000 0.000
0.000 0.000 2.953
2.953 1.797 2.953
0.000 1.797 0.000
```

E_form (uncorrected)   -84 kJ/mol of formula units
Space group   P4/mmm
Final energy   -19.4 eV for the cell shown

Record 4
Computed, not measured: a geometry-optimized Ca2ScPbO structure at the PBE level of DFT.

The structure in POSCAR format:
```
Ca2ScPbO
1.0
4.867 0.000 0.000
0.000 4.867 0.000
0.000 0.000 4.530
Ca O Pb Sc
2 1 1 1
Cartesian
2.434 0.000 0.000
0.000 2.434 0.000
0.000 0.000 0.000
2.434 2.434 2.265
0.000 0.000 2.265
```

E_form (uncorrected)   -675 kJ/mol of formula units
Space group   P4/mmm
Final energy   -26.0 eV for the cell shown

Record 5
Computed, not measured: a geometry-optimized Ca2Sc4Pb3O2 structure at the PBE level of DFT.

The structure in POSCAR format:
```
Ca2Sc4Pb3O2
1.0
4.464 0.000 0.000
0.000 4.464 0.000
-2.232 -2.232 12.401
Ca O Sc Pb
2 2 4 3
Cartesian
2.232 2.232 4.803
0.000 0.000 7.599
2.232 2.232 2.250
0.000 0.000 10.151
2.232 0.000 10.320
2.232 0.000 2.081
0.000 2.232 2.081
0.000 2.232 10.320
0.000 0.000 4.238
2.232 2.232 8.163
0.000 0.000 0.000
```

E_form (uncorrected)   -1489 kJ/mol of formula units
Space group   I4/mmm
Final energy   -65.8 eV for the cell shown

Record 6
Computed, not measured: a geometry-optimized Ca2ScPbO6 structure at the PBE level of DFT.

The structure in POSCAR format:
```
Ca2ScPbO6
1.0
-3.124 0.605 -4.741
3.573 -3.777 -2.837
-4.649 -6.107 2.276
Sc Ca O Pb
2 4 12 2
Cartesian
-1.562 0.303 -2.370
-0.538 -4.942 -0.280
-6.349 -4.205 -3.115
2.148 -5.074 -2.186
-1.091 -2.904 -2.971
-3.109 -6.375 -2.330
-1.930 -3.133 -5.138
-0.236 -1.033 -1.383
-2.892 -1.327 -2.572
-1.308 -7.952 -2.729
-3.964 -8.246 -3.918
-0.442 -5.110 -2.396
1.263 -2.906 -3.307
-5.463 -6.373 -1.994
-2.270 -6.146 -0.163
-1.870 -3.312 -0.529
-3.758 -4.169 -2.905
-2.330 -5.967 -4.772
1.786 -1.889 -1.418
-3.887 -2.751 -1.232
```

E_form (uncorrected)   -2188 kJ/mol of formula units
Space group   P2_1/c
Final energy   -132.9 eV for the cell shown

Record 7
Computed, not measured: a geometry-optimized Ca2Sc2Pb2O structure at the PBE level of DFT.

The structure in POSCAR format:
```
Ca2Sc2Pb2O
1.0
4.498 0.000 0.000
0.000 4.498 0.000
-2.249 -2.249 8.284
Pb Ca Sc O
2 2 2 1
Cartesian
0.000 0.000 6.119
2.249 2.249 2.166
0.000 0.000 2.768
2.249 2.249 5.516
2.249 0.000 0.000
0.000 2.249 0.000
0.000 0.000 0.000
```

E_form (uncorrected)   -868 kJ/mol of formula units
Space group   I4/mmm
Final energy   -38.0 eV for the cell shown

Record 8
Computed, not measured: a geometry-optimized Ca2ScPbO5 structure at the PBE level of DFT.

The structure in POSCAR format:
```
Ca2ScPbO5
1.0
-0.146 -2.553 2.162
-0.520 -2.976 -6.141
12.108 -1.106 -0.490
O Ca Sc Pb
10 4 2 2
Cartesian
6.345 -2.636 -0.092
1.493 -3.656 -1.623
4.751 -2.665 -2.827
3.181 -1.829 0.647
7.643 -2.768 -2.753
-0.017 -3.531 -4.170
8.785 -4.853 -5.138
10.753 -4.340 -1.807
0.553 -0.881 -1.002
6.170 -5.323 -3.276
1.396 -5.175 -3.423
7.967 -1.269 -0.962
2.907 -1.707 -1.819
8.692 -4.942 -2.656
-0.010 -2.238 -2.643
5.995 -3.898 -1.605
11.253 -2.754 0.100
4.801 -4.302 -4.755
```

E_form (uncorrected)   -2131 kJ/mol of formula units
Space group   Cmc2_1
Final energy   -121.8 eV for the cell shown

| no. | V (Å³/atom) |
| --- | --- |
| 1 | 13.7 |
| 2 | 24.6 |
| 3 | 25.1 |
| 4 | 21.5 |
| 5 | 22.5 |
| 6 | 13.5 |
| 7 | 23.9 |
| 8 | 15.0 |